1.
The following is a DFT calculation (GGA-PBE) of a relaxed CaTbPd crystal.

Cell lengths 6.9262, 6.9262, 6.9262 Å; angles 150.08, 150.08, 42.82 degrees
Positions (direct):
Ca: 0.0000 0.0000 0.0000
Tb: 0.2635 0.2635 0.0000
Pd: 0.6483 0.6483 0.0000

Space-group type: I4mm
Energy above the most stable polymorph in this dataset in eV per atom: 0.014



2.
The following is a DFT calculation (GGA-PBE) of a relaxed CaTb2Pd2 crystal.

Cell lengths 4.9889, 4.9889, 5.9643 Å; angles 90.00, 90.00, 120.00 degrees
Positions (direct):
Ca: 0.0000 0.0000 0.0000
Tb: 0.3333 0.6667 0.3262
Tb: 0.6667 0.3333 0.6738
Pd: 0.3333 0.6667 0.8142
Pd: 0.6667 0.3333 0.1858

Space-group type: P-3m1
Energy above the most stable polymorph in this dataset in eV per atom: 0.075



3.
The following is a DFT calculation (GGA-PBE) of a relaxed Ca2Tb2Pd3 crystal.

Cell lengths 8.7197, 8.7197, 8.7197 Å; angles 32.91, 32.91, 32.91 degrees
Positions (direct):
Ca: 0.1262 0.1262 0.1262
Ca: 0.8738 0.8738 0.8738
Tb: 0.3758 0.3758 0.3758
Tb: 0.6242 0.6242 0.6242
Pd: 0.0000 0.0000 0.0000
Pd: 0.2579 0.2579 0.2579
Pd: 0.7421 0.7421 0.7421

Space-group type: R-3m
Total DFT energy (no corrections) in eV per atom: -4.821



4.
The following is a DFT calculation (GGA-PBE) of a relaxed CaTbTlPd crystal.

Cell lengths 5.2044, 5.2044, 5.2044 Å; angles 60.00, 60.00, 60.00 degrees
Positions (direct):
Ca: 0.0000 0.0000 0.0000
Tb: 0.5000 0.5000 0.5000
Tl: 0.2500 0.2500 0.2500
Pd: 0.7500 0.7500 0.7500

Space-group type: F-43m
Total DFT energy (no corrections) in eV per atom: -4.066